(1)
! CaTmZn | the Alexandria database | PBE | relaxed; values from VASP
&SYSTEM
  ibrav = 0, nat = 6, ntyp = 3
/
ATOMIC_SPECIES
Ca 40.08 Ca.upf
Tm 168.93 Tm.upf
Zn 65.41 Zn.upf
ATOMIC_POSITIONS crystal
Ca 0.000 0.000 0.000
Ca 0.500 0.500 0.500
Tm 0.000 0.000 0.276
Tm 0.500 0.500 0.776
Zn 0.000 0.000 0.654
Zn 0.500 0.500 0.154
CELL_PARAMETERS angstrom
3.597 0.000 0.000
0.000 3.597 0.000
0.000 0.000 12.742
! Symmetry: No. 107
! Energy of formation from the pure elements in eV per atom: -0.156

(2)
! K2TaOs | the Alexandria database | PBE | relaxed; values from VASP
&SYSTEM
  ibrav = 0, nat = 16, ntyp = 3
/
ATOMIC_SPECIES
K 39.10 K.upf
Ta 180.95 Ta.upf
Os 190.23 Os.upf
ATOMIC_POSITIONS crystal
K 0.093 0.750 0.125
K 0.250 0.093 0.875
K 0.250 0.407 0.375
K 0.407 0.750 0.625
K 0.593 0.250 0.625
K 0.750 0.593 0.375
K 0.750 0.907 0.875
K 0.907 0.250 0.125
Ta 0.000 0.000 0.500
Ta 0.000 0.500 0.750
Ta 0.500 0.000 0.250
Ta 0.500 0.500 0.000
Os 0.000 0.000 0.000
Os 0.000 0.500 0.250
Os 0.500 0.000 0.750
Os 0.500 0.500 0.500
CELL_PARAMETERS angstrom
12.341 0.000 0.000
0.000 12.341 0.000
0.000 0.000 4.725
! Symmetry: No. 122
! Energy of formation from the pure elements in eV per atom: 1.535

(3)
! Pr2PuTh3S6 | the Alexandria database | PBE | relaxed; values from VASP
&SYSTEM
  ibrav = 0, nat = 12, ntyp = 4
/
ATOMIC_SPECIES
Pr 140.91 Pr.upf
Pu 244.00 Pu.upf
Th 232.04 Th.upf
S 32.06 S.upf
ATOMIC_POSITIONS crystal
Pr 0.165 0.165 0.332
Pr 0.835 0.835 0.668
Pu 0.500 0.500 0.000
Th 0.168 0.168 0.836
Th 0.500 0.500 0.500
Th 0.832 0.832 0.164
S 0.002 0.002 0.758
S 0.334 0.334 0.414
S 0.336 0.336 0.919
S 0.664 0.664 0.081
S 0.666 0.666 0.586
S 0.998 0.998 0.242
CELL_PARAMETERS angstrom
8.838 -2.025 0.000
8.838 2.025 0.000
-1.933 0.000 7.856
! Symmetry: No. 12
! Raw formation energy in meV per atom: -1884

(4)
! Os2AuCl | the Alexandria database | PBE | relaxed; values from VASP
&SYSTEM
  ibrav = 0, nat = 8, ntyp = 3
/
ATOMIC_SPECIES
Os 190.23 Os.upf
Au 196.97 Au.upf
Cl 35.45 Cl.upf
ATOMIC_POSITIONS crystal
Os 0.000 0.000 0.000
Os 0.000 0.500 0.210
Os 0.500 0.000 0.210
Os 0.500 0.500 0.000
Au 0.000 0.500 0.748
Au 0.500 0.000 0.748
Cl 0.000 0.000 0.415
Cl 0.500 0.500 0.415
CELL_PARAMETERS angstrom
2.776 0.000 0.000
0.000 4.955 0.000
0.000 0.000 10.260
! Symmetry: No. 35
! Raw formation energy in meV per atom: 675

(5)
! GdMgRu4 | the Alexandria database | PBE | relaxed; values from VASP
&SYSTEM
  ibrav = 0, nat = 6, ntyp = 3
/
ATOMIC_SPECIES
Gd 157.25 Gd.upf
Mg 24.30 Mg.upf
Ru 101.07 Ru.upf
ATOMIC_POSITIONS crystal
Gd 0.000 0.000 0.000
Mg 0.750 0.750 0.750
Ru 0.375 0.375 0.375
Ru 0.375 0.375 0.874
Ru 0.375 0.874 0.375
Ru 0.874 0.375 0.375
CELL_PARAMETERS angstrom
0.000 3.726 3.726
3.726 0.000 3.726
3.726 3.726 0.000
! Symmetry: No. 216
! Energy of formation from the pure elements in eV per atom: -0.069

(6)
! LiPrDy2Hg4 | the Alexandria database | PBE | relaxed; values from VASP
&SYSTEM
  ibrav = 0, nat = 8, ntyp = 4
/
ATOMIC_SPECIES
Li 6.94 Li.upf
Pr 140.91 Pr.upf
Dy 162.50 Dy.upf
Hg 200.59 Hg.upf
ATOMIC_POSITIONS crystal
Li 0.000 0.000 0.000
Pr 0.500 0.500 0.500
Dy 0.257 0.257 0.257
Dy 0.743 0.743 0.743
Hg 0.116 0.116 0.116
Hg 0.373 0.373 0.373
Hg 0.627 0.627 0.627
Hg 0.884 0.884 0.884
CELL_PARAMETERS angstrom
2.569 1.483 8.855
-2.569 1.483 8.855
0.000 -2.967 8.855
! Symmetry: No. 166
! Energy of formation from the pure elements in eV per atom: -0.440

(7)
! RbCa2P | the Alexandria database | PBE | relaxed; values from VASP
&SYSTEM
  ibrav = 0, nat = 16, ntyp = 3
/
ATOMIC_SPECIES
Rb 85.47 Rb.upf
Ca 40.08 Ca.upf
P 30.97 P.upf
ATOMIC_POSITIONS crystal
Rb 0.000 0.000 0.000
Rb 0.000 0.500 0.250
Rb 0.500 0.000 0.750
Rb 0.500 0.500 0.500
Ca 0.015 0.750 0.625
Ca 0.250 0.015 0.375
Ca 0.250 0.485 0.875
Ca 0.485 0.750 0.125
Ca 0.515 0.250 0.125
Ca 0.750 0.515 0.875
Ca 0.750 0.985 0.375
Ca 0.985 0.250 0.625
P 0.000 0.000 0.500
P 0.000 0.500 0.750
P 0.500 0.000 0.250
P 0.500 0.500 0.000
CELL_PARAMETERS angstrom
8.732 0.000 0.000
0.000 8.732 0.000
0.000 0.000 12.342
! Symmetry: No. 122
! Energy of formation from the pure elements in eV per atom: -0.305

(8)
! CrRe2As | the Alexandria database | PBE | relaxed; values from VASP
&SYSTEM
  ibrav = 0, nat = 8, ntyp = 3
/
ATOMIC_SPECIES
Cr 52.00 Cr.upf
Re 186.21 Re.upf
As 74.92 As.upf
ATOMIC_POSITIONS crystal
Cr 0.000 0.000 0.000
Cr 0.500 0.500 0.500
Re 0.000 0.500 0.250
Re 0.000 0.500 0.750
Re 0.500 0.000 0.250
Re 0.500 0.000 0.750
As 0.000 0.000 0.500
As 0.500 0.500 0.000
CELL_PARAMETERS angstrom
3.768 0.000 0.000
0.000 3.768 0.000
0.000 0.000 8.068
! Symmetry: No. 139
! Energy of formation from the pure elements in eV per atom: 0.406

(9)
! TlHg3Pb3 | the Alexandria database | PBE | relaxed; values from VASP
&SYSTEM
  ibrav = 0, nat = 14, ntyp = 3
/
ATOMIC_SPECIES
Tl 204.38 Tl.upf
Hg 200.59 Hg.upf
Pb 207.20 Pb.upf
ATOMIC_POSITIONS crystal
Tl 0.333 0.667 0.250
Tl 0.667 0.333 0.750
Hg 0.042 0.814 0.250
Hg 0.186 0.227 0.250
Hg 0.227 0.042 0.750
Hg 0.773 0.958 0.250
Hg 0.814 0.773 0.750
Hg 0.958 0.186 0.750
Pb 0.090 0.623 0.750
Pb 0.377 0.468 0.750
Pb 0.468 0.090 0.250
Pb 0.532 0.910 0.750
Pb 0.623 0.532 0.250
Pb 0.910 0.377 0.250
CELL_PARAMETERS angstrom
9.113 0.000 0.000
-4.557 7.892 0.000
0.000 0.000 5.620
! Symmetry: No. 176
! Energy of formation from the pure elements in eV per atom: 0.033

(10)
! Li2CuMo | the Alexandria database | PBE | relaxed; values from VASP
&SYSTEM
  ibrav = 0, nat = 4, ntyp = 3
/
ATOMIC_SPECIES
Li 6.94 Li.upf
Cu 63.55 Cu.upf
Mo 95.94 Mo.upf
ATOMIC_POSITIONS crystal
Li 0.000 0.000 0.000
Li 0.500 0.500 0.000
Cu 0.000 0.500 0.500
Mo 0.500 0.000 0.500
CELL_PARAMETERS angstrom
2.518 0.000 0.000
0.000 4.729 0.000
0.000 0.000 4.819
! Symmetry: No. 47
! Energy of formation from the pure elements in eV per atom: 0.314

(11)
! La5TbAg6 | the Alexandria database | PBE | relaxed; values from VASP
&SYSTEM
  ibrav = 0, nat = 12, ntyp = 3
/
ATOMIC_SPECIES
La 138.91 La.upf
Tb 158.93 Tb.upf
Ag 107.87 Ag.upf
ATOMIC_POSITIONS crystal
La 0.000 0.000 0.000
La 0.331 0.000 0.661
La 0.334 0.500 0.668
La 0.666 0.500 0.332
La 0.669 0.000 0.339
Tb 0.000 0.500 0.000
Ag 0.161 0.258 0.322
Ag 0.161 0.742 0.322
Ag 0.500 0.263 0.000
Ag 0.500 0.737 0.000
Ag 0.839 0.258 0.678
Ag 0.839 0.742 0.678
CELL_PARAMETERS angstrom
5.391 0.000 0.000
0.000 7.521 0.000
-2.659 0.000 8.102
! Symmetry: No. 10
! Energy of formation from the pure elements in eV per atom: -0.263

(12)
! YSc2Tl2 | the Alexandria database | PBE | relaxed; values from VASP
&SYSTEM
  ibrav = 0, nat = 5, ntyp = 3
/
ATOMIC_SPECIES
Y 88.91 Y.upf
Sc 44.96 Sc.upf
Tl 204.38 Tl.upf
ATOMIC_POSITIONS crystal
Y 0.000 0.000 0.000
Sc 0.333 0.667 0.665
Sc 0.667 0.333 0.335
Tl 0.333 0.667 0.208
Tl 0.667 0.333 0.792
CELL_PARAMETERS angstrom
5.041 0.000 0.000
-2.521 4.366 0.000
0.000 0.000 6.346
! Symmetry: No. 164
! Energy of formation from the pure elements in eV per atom: -0.109

(13)
! Tl7SnHg3 | the Alexandria database | PBE | relaxed; values from VASP
&SYSTEM
  ibrav = 0, nat = 11, ntyp = 3
/
ATOMIC_SPECIES
Tl 204.38 Tl.upf
Sn 118.71 Sn.upf
Hg 200.59 Hg.upf
ATOMIC_POSITIONS crystal
Tl 0.000 0.000 0.000
Tl 0.016 0.508 0.990
Tl 0.175 0.349 0.371
Tl 0.175 0.825 0.371
Tl 0.492 0.508 0.990
Tl 0.492 0.984 0.990
Tl 0.651 0.825 0.371
Sn 0.667 0.333 0.321
Hg 0.353 0.177 0.671
Hg 0.823 0.177 0.671
Hg 0.823 0.647 0.671
CELL_PARAMETERS angstrom
7.244 0.000 0.000
-3.622 6.274 0.000
0.000 0.000 7.481
! Symmetry: No. 156
! Energy of formation from the pure elements in eV per atom: 0.047

(14)
! SrLa2Pr3Se6 | the Alexandria database | PBE | relaxed; values from VASP
&SYSTEM
  ibrav = 0, nat = 12, ntyp = 4
/
ATOMIC_SPECIES
Sr 87.62 Sr.upf
La 138.91 La.upf
Pr 140.91 Pr.upf
Se 78.96 Se.upf
ATOMIC_POSITIONS crystal
Sr 0.000 0.000 0.000
La 0.334 0.666 0.000
La 0.666 0.334 0.000
Pr 0.165 0.835 0.500
Pr 0.500 0.500 0.500
Pr 0.835 0.165 0.500
Se 0.084 0.419 0.253
Se 0.250 0.250 0.750
Se 0.419 0.084 0.253
Se 0.581 0.916 0.747
Se 0.750 0.750 0.250
Se 0.916 0.581 0.747
CELL_PARAMETERS angstrom
3.724 -6.459 0.000
3.724 6.459 0.000
-2.483 0.000 7.035
! Symmetry: No. 12
! Raw formation energy in meV per atom: -1920

(15)
! YAuNO2 | the Alexandria database | PBE | relaxed; values from VASP
&SYSTEM
  ibrav = 0, nat = 5, ntyp = 4
/
ATOMIC_SPECIES
Y 88.91 Y.upf
Au 196.97 Au.upf
N 14.01 N.upf
O 16.00 O.upf
ATOMIC_POSITIONS crystal
Y 0.000 0.000 0.000
Au 0.500 0.500 0.500
N 0.500 0.500 0.000
O 0.000 0.500 0.500
O 0.500 0.000 0.500
CELL_PARAMETERS angstrom
4.056 0.000 0.000
0.000 4.056 0.000
0.000 0.000 4.099
! Symmetry: No. 123
! Raw formation energy in meV per atom: -380

(16)
! ErTm2Rh | the Alexandria database | PBE | relaxed; values from VASP
&SYSTEM
  ibrav = 0, nat = 4, ntyp = 3
/
ATOMIC_SPECIES
Er 167.26 Er.upf
Tm 168.93 Tm.upf
Rh 102.91 Rh.upf
ATOMIC_POSITIONS crystal
Er 0.000 0.000 0.000
Tm 0.500 0.500 0.310
Tm 0.500 0.500 0.690
Rh 0.000 0.000 0.500
CELL_PARAMETERS angstrom
3.460 0.000 0.000
0.000 3.460 0.000
0.000 0.000 8.422
! Symmetry: No. 123
! Energy of formation from the pure elements in eV per atom: -0.445

(17)
! Nd4Sm3Zn | the Alexandria database | PBE | relaxed; values from VASP
&SYSTEM
  ibrav = 0, nat = 8, ntyp = 3
/
ATOMIC_SPECIES
Nd 144.24 Nd.upf
Sm 150.36 Sm.upf
Zn 65.41 Zn.upf
ATOMIC_POSITIONS crystal
Nd 0.000 0.000 0.096
Nd 0.000 0.000 0.366
Nd 0.000 0.000 0.634
Nd 0.000 0.000 0.904
Sm 0.500 0.500 0.232
Sm 0.500 0.500 0.500
Sm 0.500 0.500 0.768
Zn 0.500 0.500 0.000
CELL_PARAMETERS angstrom
3.674 0.000 0.000
0.000 3.674 0.000
0.000 0.000 19.136
! Symmetry: No. 123
! Energy of formation from the pure elements in eV per atom: -0.066

(18)
! Rb2AcZn3F12 | the Alexandria database | PBE | relaxed; values from VASP
&SYSTEM
  ibrav = 0, nat = 18, ntyp = 4
/
ATOMIC_SPECIES
Rb 85.47 Rb.upf
Ac 227.00 Ac.upf
Zn 65.41 Zn.upf
F 19.00 F.upf
ATOMIC_POSITIONS crystal
Rb 0.110 0.110 0.110
Rb 0.890 0.890 0.890
Ac 0.500 0.500 0.500
Zn 0.000 0.500 0.500
Zn 0.500 0.000 0.500
Zn 0.500 0.500 0.000
F 0.090 0.630 0.630
F 0.234 0.234 0.603
F 0.234 0.603 0.234
F 0.370 0.370 0.910
F 0.370 0.910 0.370
F 0.397 0.766 0.766
F 0.603 0.234 0.234
F 0.630 0.090 0.630
F 0.630 0.630 0.090
F 0.766 0.397 0.766
F 0.766 0.766 0.397
F 0.910 0.370 0.370
CELL_PARAMETERS angstrom
3.865 2.232 5.647
-3.865 2.232 5.647
0.000 -4.463 5.647
! Symmetry: No. 166
! Raw formation energy in meV per atom: -2732

(19)
! LiErP | the Alexandria database | PBE | relaxed; values from VASP
&SYSTEM
  ibrav = 0, nat = 12, ntyp = 3
/
ATOMIC_SPECIES
Li 6.94 Li.upf
Er 167.26 Er.upf
P 30.97 P.upf
ATOMIC_POSITIONS crystal
Li 0.000 0.000 0.000
Li 0.000 0.500 0.500
Li 0.500 0.000 0.500
Li 0.500 0.500 0.000
Er 0.000 0.000 0.500
Er 0.000 0.500 0.000
Er 0.500 0.000 0.000
Er 0.500 0.500 0.500
P 0.250 0.250 0.250
P 0.250 0.750 0.750
P 0.750 0.250 0.750
P 0.750 0.750 0.250
CELL_PARAMETERS angstrom
6.267 0.000 0.000
0.000 6.267 0.000
0.000 0.000 6.267
! Symmetry: No. 216
! Energy of formation from the pure elements in eV per atom: -0.915

(20)
! ErSc6Ni3 | the Alexandria database | PBE | relaxed; values from VASP
&SYSTEM
  ibrav = 0, nat = 20, ntyp = 3
/
ATOMIC_SPECIES
Er 167.26 Er.upf
Sc 44.96 Sc.upf
Ni 58.69 Ni.upf
ATOMIC_POSITIONS crystal
Er 0.184 0.816 0.500
Er 0.816 0.184 0.000
Sc 0.086 0.459 0.729
Sc 0.132 0.211 0.380
Sc 0.211 0.132 0.880
Sc 0.272 0.728 0.036
Sc 0.459 0.086 0.229
Sc 0.473 0.527 0.374
Sc 0.527 0.473 0.874
Sc 0.541 0.914 0.729
Sc 0.728 0.272 0.536
Sc 0.789 0.868 0.380
Sc 0.868 0.789 0.880
Sc 0.914 0.541 0.229
Ni 0.076 0.924 0.164
Ni 0.194 0.414 0.096
Ni 0.414 0.194 0.596
Ni 0.586 0.806 0.096
Ni 0.806 0.586 0.596
Ni 0.924 0.076 0.664
CELL_PARAMETERS angstrom
5.110 -6.028 0.000
5.110 6.028 0.000
0.000 0.000 6.721
! Symmetry: No. 36
! Energy of formation from the pure elements in eV per atom: -0.272

(21)
! CrMo2H | the Alexandria database | PBE | relaxed; values from VASP
&SYSTEM
  ibrav = 0, nat = 12, ntyp = 3
/
ATOMIC_SPECIES
Cr 52.00 Cr.upf
Mo 95.94 Mo.upf
H 1.01 H.upf
ATOMIC_POSITIONS crystal
Cr 0.000 0.000 0.000
Cr 0.333 0.667 0.667
Cr 0.667 0.333 0.333
Mo 0.000 0.000 0.106
Mo 0.000 0.000 0.894
Mo 0.333 0.667 0.560
Mo 0.333 0.667 0.773
Mo 0.667 0.333 0.227
Mo 0.667 0.333 0.440
H 0.000 0.000 0.500
H 0.333 0.667 0.167
H 0.667 0.333 0.833
CELL_PARAMETERS angstrom
2.794 0.000 0.000
-1.397 2.420 0.000
0.000 0.000 21.466
! DFT total energy in eV per atom: -8.089
! Symmetry: No. 166

(22)
! HfZn3Cl | the Alexandria database | PBE | relaxed; values from VASP
&SYSTEM
  ibrav = 0, nat = 5, ntyp = 3
/
ATOMIC_SPECIES
Hf 178.49 Hf.upf
Zn 65.41 Zn.upf
Cl 35.45 Cl.upf
ATOMIC_POSITIONS crystal
Hf 0.000 0.000 0.000
Zn 0.000 0.000 0.500
Zn 0.000 0.500 0.000
Zn 0.500 0.000 0.000
Cl 0.500 0.500 0.500
CELL_PARAMETERS angstrom
5.434 0.000 0.000
0.000 5.434 0.000
0.000 0.000 5.434
! Symmetry: No. 221
! Raw formation energy in meV per atom: 753

(23)
! RbEr4Te6 | the Alexandria database | PBE | relaxed; values from VASP
&SYSTEM
  ibrav = 0, nat = 22, ntyp = 3
/
ATOMIC_SPECIES
Rb 85.47 Rb.upf
Er 167.26 Er.upf
Te 127.60 Te.upf
ATOMIC_POSITIONS crystal
Rb 0.161 0.839 0.750
Rb 0.839 0.161 0.250
Er 0.093 0.907 0.130
Er 0.093 0.907 0.370
Er 0.365 0.635 0.039
Er 0.365 0.635 0.461
Er 0.635 0.365 0.539
Er 0.635 0.365 0.961
Er 0.907 0.093 0.630
Er 0.907 0.093 0.870
Te 0.000 0.000 0.000
Te 0.000 0.000 0.500
Te 0.148 0.852 0.250
Te 0.271 0.729 0.582
Te 0.271 0.729 0.918
Te 0.458 0.542 0.153
Te 0.458 0.542 0.347
Te 0.542 0.458 0.653
Te 0.542 0.458 0.847
Te 0.729 0.271 0.082
Te 0.729 0.271 0.418
Te 0.852 0.148 0.750
CELL_PARAMETERS angstrom
2.207 -7.275 0.000
2.207 7.275 0.000
0.000 0.000 23.174
! Symmetry: No. 63
! Raw formation energy in meV per atom: -1303

(24)
! PmSmZn2 | the Alexandria database | PBE | relaxed; values from VASP
&SYSTEM
  ibrav = 0, nat = 12, ntyp = 3
/
ATOMIC_SPECIES
Pm 145.00 Pm.upf
Sm 150.36 Sm.upf
Zn 65.41 Zn.upf
ATOMIC_POSITIONS crystal
Pm 0.000 0.000 0.000
Pm 0.333 0.667 0.667
Pm 0.667 0.333 0.333
Sm 0.000 0.000 0.500
Sm 0.333 0.667 0.167
Sm 0.667 0.333 0.833
Zn 0.000 0.000 0.249
Zn 0.000 0.000 0.751
Zn 0.333 0.667 0.417
Zn 0.333 0.667 0.916
Zn 0.667 0.333 0.084
Zn 0.667 0.333 0.583
CELL_PARAMETERS angstrom
3.679 0.000 0.000
-1.840 3.186 0.000
0.000 0.000 27.321
! Symmetry: No. 166
! Energy of formation from the pure elements in eV per atom: -0.093